## NdEr2Pd3 (GGA-PBE)

Data for NdEr2Pd3 after structural relaxation.

Properties
E_form ... -5.16 eV/f.u.
Total moment ... 0.00 μB/cell
E ... -5.772 eV per atom

a b c (Å): 3.495 3.495 10.752
angles (deg): 90.00 90.00 90.00
Fractional coordinates of all 6 atoms:
Er 0.500 0.500 0.162
Pd 0.000 0.000 0.687
Pd 0.000 0.000 0.313
Nd 0.500 0.500 0.500
Pd 0.000 0.000 0.000
Er 0.500 0.500 0.838

***

## RbNiBi3 (GGA-PBE)

Data for RbNiBi3 after structural relaxation.

Properties
E_form ... 9.33 eV/f.u.
Polymorph energy (0 for the lowest one) ... 1.7919 eV/atom
Total moment ... 0.00 μB/cell
E ... -1.812 eV per atom

a b c (Å): 6.066 6.066 6.066
angles (deg): 90.00 90.00 90.00
Fractional coordinates of all 5 atoms:
Bi 0.000 0.500 0.000
Bi 0.000 0.000 0.500
Ni 0.500 0.500 0.500
Bi 0.500 0.000 0.000
Rb 0.000 0.000 0.000

***

## MgTi2B (GGA-PBE)

Data for MgTi2B after structural relaxation.

Properties
E_form ... 1.15 eV/f.u.
Polymorph energy (0 for the lowest one) ... 0.0000 eV/atom
Total moment ... 0.00 μB/cell
E ... -5.729 eV per atom

a b c (Å): 6.902 6.902 5.549
angles (deg): 51.54 51.54 90.00
Fractional coordinates of all 8 atoms:
Ti 0.375 0.446 0.750
Mg 0.000 0.000 0.000
B 0.500 0.500 0.000
Ti 0.554 0.125 0.250
Ti 0.196 0.625 0.250
B 0.250 0.750 0.500
Mg 0.750 0.250 0.500
Ti 0.875 0.804 0.750

***

Which value of E does entry 1 give? -5.772 eV per atom